Er2CrGaO6 (GGA+U, relaxed); total DFT energy (no corrections) = -7.48 eV/atom; symmetry = P4mm (99)
1.0
5.216 0.000 0.000
0.000 5.216 0.000
0.000 0.000 4.657
Er Cr Ga O
2 1 1 6
Cartesian
0.000 2.608 0.000
2.608 0.000 0.000
0.000 0.000 2.812
2.608 2.608 2.690
0.000 0.000 0.857
1.323 1.323 3.359
1.323 3.893 3.359
2.608 2.608 0.853
3.893 1.323 3.359
3.893 3.893 3.359

ErCr2GaO6 (GGA+U, relaxed); total DFT energy (no corrections) = -7.54 eV/atom; symmetry = R3 (146)
1.0
2.625 1.516 4.634
-2.625 1.516 4.634
0.000 -3.032 4.634
Er Cr Ga O
1 2 1 6
Cartesian
0.000 0.000 0.000
0.000 0.000 3.907
0.000 0.000 10.913
0.000 0.000 6.766
-1.494 -0.197 5.305
-0.992 -1.552 7.549
0.917 -1.196 5.305
-0.848 1.635 7.549
0.577 1.392 5.305
1.840 -0.083 7.549